The following is a PBE calculation of NaFePd after structural relaxation, from OQMD via LeMat-Bulk.

The value obtained for the electronic total energy is -4.291 eV/atom. As for the magnetization: 13.45 Bohr magnetons per cell. Its crystal system is cubic.

It has space group F-43m (No. 216), with a = 6.099 Å, b = 6.099 Å, c = 6.099 Å, α = 90.00°, β = 90.00° and γ = 90.00°. The distinct sites, in fractional coordinates, are Na at (0.000, 0.000, 0.000), Fe at (0.250, 0.250, 0.250) and Pd at (0.000, 0.000, 0.500).